Compound: ZrCoAgAs
Source: OQMD via LeMat-Bulk
Functional: PBE
Structure: relaxed

Properties
- offset from the most stable computed form (meV per atom) = 84
- final energy (eV/atom) = -5.7453

```
data_ZrCoAgAs
_chemical_formula_sum 'Zr4 Co4 Ag4 As4'
_cell_length_a 6.471
_cell_length_b 6.471
_cell_length_c 6.471
_cell_angle_alpha 90.00
_cell_angle_beta 90.00
_cell_angle_gamma 90.00
_space_group_name_H-M_alt 'F -4 3 m'
_space_group_IT_number 216
_space_group_name_Hall 'F -4 2 3'
loop_
_atom_site_label
_atom_site_type_symbol
_atom_site_fract_x
_atom_site_fract_y
_atom_site_fract_z
_atom_site_occupancy
Zr1 Zr 0.000 0.000 0.000 1
Co1 Co 0.250 0.250 0.750 1
Ag1 Ag 0.250 0.250 0.250 1
As1 As 0.000 0.000 0.500 1
```